Compound: CrRh2Pb
Source: Alexandria via LeMat-Bulk
Functional: PBE
Structure: relaxed

Lattice parameters (Å, degrees): 4.2300 4.2300 3.6759 90.00 90.00 90.00
With the nearest neighbours (Å) after each atom.
Atoms (fractional coordinates):
Cr 0.0000 0.0000 0.0000  8 Rh 2.80, 4 Pb 2.99
Rh 0.0000 0.5000 0.5000  4 Cr 2.80, 4 Pb 2.80, 4 Rh 2.99
Rh 0.5000 0.0000 0.5000  4 Cr 2.80, 4 Pb 2.80, 4 Rh 2.99
Pb 0.5000 0.5000 0.0000  8 Rh 2.80, 4 Cr 2.99

Properties
E, eV per atom: -6.9556
Total magnetization, μB/f.u.: 3.70
Volume, A^3/atom: 16.4
Space-group type: No. 123